# 1
# Ac2SiP

A relaxed structure of Ac2SiP (PBE, the Alexandria database).

Uncorrected energy = -92.409 eV/cell
ρ = 7.00 g/cm³
Energy above the lowest structure with this stoichiometry = 0.00 kcal/mol of atoms
E_form (uncorrected) = -4.05 eV per formula unit

a = 4.555 Å, b = 25.088 Å, c = 4.261 Å
α = 90.00°, β = 90.00°, γ = 90.00°
Space group Cmcm (No. 63)
One atom of each set of equivalent atoms:
Ac  0.000  0.068  0.250 (multiplicity 4)
Ac  0.000  0.310  0.250 (multiplicity 4)
Si  0.000  0.470  0.250 (multiplicity 4)
P  0.000  0.188  0.250 (multiplicity 4)

=====

# 2
# LiHoAg3

A relaxed structure of LiHoAg3 (PBE, the Alexandria database).

Uncorrected energy = -31.421 eV/cell
ρ = 8.31 g/cm³
DFT formation energy = -133 meV per atom

a = 6.5633 Å, b = 6.5633 Å, c = 5.3046 Å
α = 90.00°, β = 90.00°, γ = 120.00°
Space group P6_3/mmc (No. 194)
One atom of each set of equivalent atoms:
Li  0.0000  0.0000  0.0000 (multiplicity 2)
Ho  0.3333  0.6667  0.2500 (multiplicity 2)
Ag  0.1900  0.3801  0.7500 (multiplicity 6)

=====

# 3
# Cd5As2P

A relaxed structure of Cd5As2P (PBE, the Alexandria database).

Uncorrected energy = -75.900 eV/cell
ρ = 5.15 g/cm³
DFT formation energy = 39 meV per atom

a = 5.147 Å, b = 13.601 Å, c = 13.695 Å
α = 90.00°, β = 90.00°, γ = 90.00°
Space group Cmcm (No. 63)
One atom of each set of equivalent atoms:
Cd  0.000  0.052  0.117 (multiplicity 8)
Cd  0.000  0.247  0.750 (multiplicity 4)
Cd  0.000  0.301  0.076 (multiplicity 8)
As  0.000  0.137  0.574 (multiplicity 8)
P  0.000  0.182  0.250 (multiplicity 4)

=====

# 4
# Nd2CuPd6

A relaxed structure of Nd2CuPd6 (PBE, the Alexandria database).

Uncorrected energy = -50.422 eV/cell
ρ = 9.74 g/cm³
DFT formation energy = -626 meV per atom

a = 5.7647 Å, b = 5.7647 Å, c = 5.8698 Å
α = 90.00°, β = 90.00°, γ = 120.00°
Space group P-3m1 (No. 164)
One atom of each set of equivalent atoms:
Nd  0.3333  0.6667  0.3266 (multiplicity 2)
Cu  0.0000  0.0000  0.5000 (multiplicity 1)
Pd  0.1730  0.3461  0.8136 (multiplicity 6)

=====

# 5
# Mn3SnPd4

A relaxed structure of Mn3SnPd4 (PBE, the Alexandria database).

Uncorrected energy = -109.149 eV/cell
ρ = 9.26 g/cm³
DFT formation energy = -286 meV per atom

a = 4.431 Å, b = 4.431 Å, c = 12.951 Å
α = 90.00°, β = 90.00°, γ = 90.00°
Space group I4/mmm (No. 139)
One atom of each set of equivalent atoms:
Mn  0.000  0.000  0.000 (multiplicity 2)
Mn  0.000  0.000  0.249 (multiplicity 4)
Sn  0.000  0.000  0.500 (multiplicity 2)
Pd  0.000  0.500  0.130 (multiplicity 8)

=====

# 6
# Hf2Ga3Pt

A relaxed structure of Hf2Ga3Pt (PBE, the Alexandria database).

Uncorrected energy = -309.844 eV/cell
ρ = 12.14 g/cm³
DFT formation energy = -617 meV per atom

a = 6.281 Å, b = 8.688 Å, c = 15.270 Å
α = 90.00°, β = 90.00°, γ = 90.00°
Space group Fmmm (No. 69)
One atom of each set of equivalent atoms:
Hf  0.248  0.000  0.000 (multiplicity 8)
Hf  0.250  0.250  0.250 (multiplicity 8)
Ga  0.000  0.000  0.334 (multiplicity 8)
Ga  0.000  0.248  0.083 (multiplicity 16)
Pt  0.000  0.000  0.168 (multiplicity 8)

=====

# 7
# IrRu

A relaxed structure of IrRu (PBE, the Alexandria database).

Uncorrected energy = -93.994 eV/cell
ρ = 9.57 g/cm³
DFT formation energy = 1236 meV per atom
Energy above the lowest structure with this stoichiometry = 29.76 kcal/mol of atoms

a = 9.5807 Å, b = 9.5807 Å, c = 3.8416 Å
α = 90.00°, β = 90.00°, γ = 120.00°
Space group P6_3/m (No. 176)
One atom of each set of equivalent atoms:
Ir  0.1116  0.6686  0.2500 (multiplicity 6)
Ru  0.0604  0.3974  0.2500 (multiplicity 6)

=====

# 8
# Mg3Zn2CuPt3

A relaxed structure of Mg3Zn2CuPt3 (PBE, the Alexandria database).

Uncorrected energy = -34.639 eV/cell
ρ = 10.31 g/cm³
DFT formation energy = -565 meV per atom

a = 7.4388 Å, b = 7.4388 Å, c = 2.8647 Å
α = 90.00°, β = 90.00°, γ = 120.00°
Space group P-62m (No. 189)
One atom of each set of equivalent atoms:
Mg  0.0000  0.7089  0.0000 (multiplicity 3)
Zn  0.3333  0.6667  0.0000 (multiplicity 2)
Cu  0.0000  0.0000  0.5000 (multiplicity 1)
Pt  0.0000  0.3692  0.5000 (multiplicity 3)

=====

# 9
# AcSm5Bi6

A relaxed structure of AcSm5Bi6 (PBE, the Alexandria database).

Uncorrected energy = -124.185 eV/cell
ρ = 8.89 g/cm³
DFT formation energy = -925 meV per atom

a = 7.995 Å, b = 13.849 Å, c = 7.996 Å
α = 90.00°, β = 109.54°, γ = 90.00°
Space group C2/m (No. 12)
One atom of each set of equivalent atoms:
Ac  0.000  0.000  0.000 (multiplicity 2)
Sm  0.000  0.163  0.500 (multiplicity 4)
Sm  0.000  0.332  0.000 (multiplicity 4)
Sm  0.000  0.500  0.500 (multiplicity 2)
Bi  0.241  0.500  0.253 (multiplicity 4)
Bi  0.243  0.329  0.743 (multiplicity 8)

=====

# 10
# Dy7InCo2

A relaxed structure of Dy7InCo2 (PBE, the Alexandria database).

Uncorrected energy = -99.327 eV/cell
ρ = 7.79 g/cm³
DFT formation energy = -50 meV per atom

a = 8.881 Å, b = 13.301 Å, c = 4.942 Å
α = 90.00°, β = 90.00°, γ = 90.00°
Space group Cmmm (No. 65)
One atom of each set of equivalent atoms:
Dy  0.000  0.000  0.000 (multiplicity 2)
Dy  0.000  0.208  0.500 (multiplicity 4)
Dy  0.183  0.368  0.000 (multiplicity 8)
In  0.000  0.500  0.500 (multiplicity 2)
Co  0.000  0.202  0.000 (multiplicity 4)

=====

# 11
# Mn2Nb2Sb

A relaxed structure of Mn2Nb2Sb (PBE, the Alexandria database).

Uncorrected energy = -82.166 eV/cell
ρ = 7.98 g/cm³
Energy above the lowest structure with this stoichiometry = 4.46 kcal/mol of atoms
E_form (uncorrected) = 1.52 eV per formula unit

a = 4.189 Å, b = 4.189 Å, c = 9.894 Å
α = 90.00°, β = 90.00°, γ = 90.00°
Space group I4/mmm (No. 139)
One atom of each set of equivalent atoms:
Mn  0.000  0.000  0.109 (multiplicity 4)
Nb  0.000  0.500  0.250 (multiplicity 4)
Sb  0.000  0.000  0.500 (multiplicity 2)

=====

# 12
# Sm4CdSn3

A relaxed structure of Sm4CdSn3 (PBE, the Alexandria database).

Uncorrected energy = -36.932 eV/cell
ρ = 7.55 g/cm³
DFT formation energy = -642 meV per atom

a = 4.424 Å, b = 4.543 Å, c = 11.703 Å
α = 90.00°, β = 90.00°, γ = 90.00°
Space group Pmm2 (No. 25)
One atom of each set of equivalent atoms:
Sm  0.000  0.000  0.000 (multiplicity 1)
Sm  0.000  0.500  0.498 (multiplicity 1)
Sm  0.500  0.000  0.273 (multiplicity 1)
Sm  0.500  0.500  0.775 (multiplicity 1)
Cd  0.500  0.000  0.553 (multiplicity 1)
Sn  0.000  0.000  0.721 (multiplicity 1)
Sn  0.000  0.500  0.226 (multiplicity 1)
Sn  0.500  0.500  0.046 (multiplicity 1)

=====

Question: Look up the ρ of the twelfth one.
Answer: 7.55 g/cm³

=====

Question: The lowest ρ belongs to which entry?
Answer: Cd5As2P

=====

Question: Look up the uncorrected energy of the first one.
Answer: -92.409 eV/cell